First-principles (GGA-PBE) data for an optimized crystal structure of NaTlIO2, as listed in Alexandria.

**VASP energy**: -3.35 eV per atom
**Excess energy over the best structure of this formula in the dataset**: 0.000 eV/atom
**Magnetization**: 0.04 μB/cell
**ΔE_f (raw)**: -0.3221 eV/atom

abc: 4.297 4.297 6.547
angles: 90.00 90.00 90.00
Fractional positions:
I: 0.000 0.000 0.500
Na: 0.500 0.500 0.500
Tl: 0.000 0.000 0.000
O: 0.000 0.500 0.000
O: 0.500 0.000 0.000